Tb6PrSm4: optimized geometry, PBE.

Computed properties:
symmetry: I-42m (121)
formation energy: 422 meV per atom

Geometry as extended XYZ:
```
11
Lattice="7.7513 0.0004 0.0015 0.0004 7.7504 0.0032 -3.8746 -3.8727 6.5238" Properties=species:S:1:pos:R:3 pbc="T T T"
Sm -2.5520 2.5577 5.5424
Sm 1.3230 1.3226 0.9863
Sm 2.5566 -2.5503 5.5415
Sm 6.4325 6.4315 0.9889
Tb 1.9564 5.7902 2.4409
Tb 1.9202 1.9212 4.0892
Tb 3.8764 0.0037 6.5266
Tb 0.0017 3.8771 6.5274
Tb 5.7907 1.9563 2.4405
Tb -1.9178 -1.9164 4.0869
Pr 0.0005 0.0023 6.5241
```